Entry 1:
Density functional theory data (PBE) for a geometry-optimized BaAc2Sc structure.

Cell and atoms, written as POSCAR:
```
BaAc2Sc
1.0
4.111 0.000 0.000
0.000 4.111 0.000
0.000 0.000 10.195
Ba Ac Sc
1 2 1
Direct
0.000 0.000 0.000
0.500 0.500 0.303
0.500 0.500 0.697
0.000 0.000 0.500
```

Summary:
Magnetization   0.0 μB/f.u.
Symmetry   P4/mmm, No. 123
E_form   92 meV per atom
Polymorph energy (0 for the lowest one)   0.000 eV per formula unit
Total DFT energy (no corrections)   -4.026 eV/atom



Entry 2:
Density functional theory data (PBE) for a geometry-optimized MgSc2SbH structure.

Cell and atoms, written as POSCAR:
```
MgSc2SbH
1.0
4.401 0.000 0.000
0.000 4.401 0.000
0.000 0.000 4.525
Mg Sc Sb H
1 2 1 1
Direct
0.000 0.000 0.000
0.000 0.500 0.500
0.500 0.000 0.500
0.500 0.500 0.000
0.000 0.000 0.500
```

Summary:
Magnetization   0.0 μB/f.u.
Symmetry   P4/mmm, No. 123
Total DFT energy (no corrections)   -4.769 eV/atom



Entry 3:
Density functional theory data (PBE) for a geometry-optimized ThBi2 structure.

Cell and atoms, written as POSCAR:
```
ThBi2
1.0
4.116 -4.961 0.000
4.116 4.961 0.000
-4.112 0.000 4.962
Th Bi
2 4
Direct
0.249 0.751 0.000
0.751 0.249 0.000
0.157 0.157 0.812
0.344 0.656 0.500
0.656 0.344 0.500
0.843 0.843 0.188
```

Summary:
Magnetization   0.0 μB/f.u.
Symmetry   C2/m, No. 12
E_form   -425 meV per atom
Total DFT energy (no corrections)   -5.486 eV/atom



Entry 4:
Density functional theory data (PBE) for a geometry-optimized Sr4SnH2 structure.

Cell and atoms, written as POSCAR:
```
Sr4SnH2
1.0
0.000 6.284 7.948
4.449 0.000 7.948
4.449 6.284 0.000
Sr Sn H
8 2 4
Direct
0.146 0.299 0.278
0.223 0.722 0.701
0.278 0.777 0.146
0.299 0.146 0.777
0.701 0.854 0.223
0.722 0.223 0.854
0.777 0.278 0.299
0.854 0.701 0.722
0.375 0.375 0.375
0.625 0.625 0.625
0.000 0.000 0.000
0.000 0.000 0.500
0.000 0.500 0.000
0.500 0.000 0.000
```

Summary:
Magnetization   0.3 μB/f.u.
Symmetry   Fddd, No. 70
Total DFT energy (no corrections)   -2.814 eV/atom



Entry 5:
Density functional theory data (PBE) for a geometry-optimized MoPb2Cl structure.

Cell and atoms, written as POSCAR:
```
MoPb2Cl
1.0
3.187 0.000 0.000
0.000 3.187 0.000
0.000 0.000 9.421
Mo Pb Cl
1 2 1
Direct
0.000 0.000 0.000
0.000 0.000 0.543
0.500 0.500 0.225
0.500 0.500 0.861
```

Summary:
Magnetization   0.5 μB/f.u.
Symmetry   P4mm, No. 99
Polymorph energy (0 for the lowest one)   0.446 eV per formula unit
Total DFT energy (no corrections)   -4.684 eV/atom
E_form (uncorrected)   0.34 eV per atom



Entry 6:
Density functional theory data (PBE) for a geometry-optimized CsCu2O2 structure.

Cell and atoms, written as POSCAR:
```
CsCu2O2
1.0
-3.173 3.173 5.108
3.173 -3.173 5.108
3.173 3.173 -5.108
Cs Cu O
2 4 4
Direct
0.375 0.625 0.750
0.625 0.375 0.250
0.000 0.000 0.000
0.000 0.000 0.500
0.000 0.500 0.000
0.500 0.000 0.500
0.079 0.329 0.750
0.329 0.079 0.250
0.671 0.921 0.750
0.921 0.671 0.250
```

Summary:
Magnetization   0.9 μB/f.u.
Symmetry   I4_1/amd, No. 141
Polymorph energy (0 for the lowest one)   0.000 eV per formula unit
Total DFT energy (no corrections)   -4.566 eV/atom
E_form (uncorrected)   -0.77 eV per atom



Entry 7:
Density functional theory data (PBE) for a geometry-optimized SmPa2Rh structure.

Cell and atoms, written as POSCAR:
```
SmPa2Rh
1.0
1.787 1.032 9.415
-1.787 1.032 9.415
0.000 -2.063 9.415
Sm Pa Rh
1 2 1
Direct
0.000 0.000 0.000
0.233 0.233 0.233
0.767 0.767 0.767
0.500 0.500 0.500
```

Summary:
Magnetization   0.0 μB/f.u.
Symmetry   R-3m, No. 166
E_form   -106 meV per atom
Total DFT energy (no corrections)   -7.872 eV/atom



Entry 8:
Density functional theory data (PBE) for a geometry-optimized TlTeS2 structure.

Cell and atoms, written as POSCAR:
```
TlTeS2
1.0
2.117 1.222 7.158
-2.117 1.222 7.158
0.000 -2.444 7.158
Tl Te S
1 1 2
Direct
0.000 0.000 0.000
0.825 0.825 0.825
0.218 0.218 0.218
0.426 0.426 0.426
```

Summary:
Magnetization   0.0 μB/f.u.
Symmetry   R3m, No. 160
Polymorph energy (0 for the lowest one)   0.425 eV per formula unit
Total DFT energy (no corrections)   -3.420 eV/atom
E_form (uncorrected)   0.02 eV per atom



Entry 9:
Density functional theory data (PBE) for a geometry-optimized TlAsBr2 structure.

Cell and atoms, written as POSCAR:
```
TlAsBr2
1.0
1.852 -3.392 0.000
1.852 3.392 0.000
0.000 0.000 9.624
Tl As Br
1 1 2
Direct
0.000 0.000 0.000
0.000 0.000 0.500
0.500 0.500 0.295
0.500 0.500 0.705
```

Summary:
Magnetization   0.0 μB/f.u.
Symmetry   Cmmm, No. 65
Polymorph energy (0 for the lowest one)   0.813 eV per formula unit
Total DFT energy (no corrections)   -2.649 eV/atom
E_form (uncorrected)   -0.06 eV per atom



Entry 10:
Density functional theory data (PBE) for a geometry-optimized Ti6NiRh structure.

Cell and atoms, written as POSCAR:
```
Ti6NiRh
1.0
-2.163 2.163 6.691
2.163 -2.163 6.691
2.163 2.163 -6.691
Ti Ni Rh
6 1 1
Direct
0.116 0.616 0.500
0.250 0.250 0.000
0.384 0.884 0.500
0.616 0.116 0.500
0.750 0.750 0.000
0.884 0.384 0.500
0.000 0.000 0.000
0.500 0.500 0.000
```

Summary:
Magnetization   0.0 μB/f.u.
Symmetry   I4/mmm, No. 139
E_form   -316 meV per atom
Polymorph energy (0 for the lowest one)   0.000 eV per formula unit
Total DFT energy (no corrections)   -7.879 eV/atom



Entry 11:
Density functional theory data (PBE) for a geometry-optimized AcLuTlPt structure.

Cell and atoms, written as POSCAR:
```
AcLuTlPt
1.0
0.000 3.786 3.786
3.786 0.000 3.786
3.786 3.786 0.000
Ac Lu Tl Pt
1 1 1 1
Direct
0.000 0.000 0.000
0.500 0.500 0.500
0.750 0.750 0.750
0.250 0.250 0.250
```

Summary:
Magnetization   0.0 μB/f.u.
Symmetry   F-43m, No. 216
E_form   -559 meV per atom
Total DFT energy (no corrections)   -4.818 eV/atom



Entry 12:
Density functional theory data (PBE) for a geometry-optimized ZnCdGaCu structure.

Cell and atoms, written as POSCAR:
```
ZnCdGaCu
1.0
0.000 3.235 3.235
3.235 0.000 3.235
3.235 3.235 0.000
Zn Cd Ga Cu
1 1 1 1
Direct
0.000 0.000 0.000
0.250 0.250 0.250
0.750 0.750 0.750
0.500 0.500 0.500
```

Summary:
Magnetization   0.0 μB/f.u.
Symmetry   F-43m, No. 216
E_form   141 meV per atom
Total DFT energy (no corrections)   -2.187 eV/atom



Entry 13:
Density functional theory data (PBE) for a geometry-optimized AlPtIO2 structure.

Cell and atoms, written as POSCAR:
```
AlPtIO2
1.0
3.684 0.000 0.000
0.000 3.684 0.000
0.000 0.000 7.411
Al Pt I O
1 1 1 2
Direct
0.000 0.000 0.000
0.500 0.500 0.500
0.000 0.000 0.500
0.000 0.500 0.000
0.500 0.000 0.000
```

Summary:
Magnetization   1.0 μB/f.u.
Symmetry   P4/mmm, No. 123
Polymorph energy (0 for the lowest one)   0.000 eV per formula unit
Total DFT energy (no corrections)   -4.984 eV/atom
E_form (uncorrected)   -0.73 eV per atom



Entry 14:
Density functional theory data (PBE) for a geometry-optimized Te5Ru structure.

Cell and atoms, written as POSCAR:
```
Te5Ru
1.0
0.000 4.412 4.412
4.412 0.000 4.412
4.412 4.412 0.000
Te Ru
5 1
Direct
0.000 0.000 0.000
0.126 0.625 0.625
0.625 0.126 0.625
0.625 0.625 0.126
0.625 0.625 0.625
0.250 0.250 0.250
```

Summary:
Magnetization   2.8 μB/f.u.
Symmetry   F-43m, No. 216
Polymorph energy (0 for the lowest one)   6.210 eV per formula unit
Total DFT energy (no corrections)   -3.106 eV/atom
E_form (uncorrected)   1.06 eV per atom



Entry 15:
Density functional theory data (PBE) for a geometry-optimized KTl2Ag2F7 structure.

Cell and atoms, written as POSCAR:
```
KTl2Ag2F7
1.0
3.146 -3.138 0.000
3.146 3.138 0.000
-3.045 0.000 11.156
K Tl Ag F
1 2 2 7
Direct
0.000 0.000 0.000
0.197 0.197 0.370
0.803 0.803 0.630
0.406 0.406 0.805
0.594 0.594 0.195
0.089 0.589 0.186
0.328 0.328 0.605
0.411 0.911 0.814
0.500 0.500 0.000
0.589 0.089 0.186
0.672 0.672 0.395
0.911 0.411 0.814
```

Summary:
Magnetization   0.0 μB/f.u.
Symmetry   C2/m, No. 12
Total DFT energy (no corrections)   -3.719 eV/atom
E_form (uncorrected)   -1.67 eV per atom



Entry 16:
Density functional theory data (PBE) for a geometry-optimized ZrCd2Pd structure.

Cell and atoms, written as POSCAR:
```
ZrCd2Pd
1.0
3.305 0.000 0.000
0.000 3.305 0.000
0.000 0.000 7.200
Zr Cd Pd
1 2 1
Direct
0.000 0.000 0.000
0.500 0.500 0.280
0.500 0.500 0.720
0.000 0.000 0.500
```

Summary:
Magnetization   0.0 μB/f.u.
Symmetry   P4/mmm, No. 123
E_form   -233 meV per atom
Total DFT energy (no corrections)   -4.125 eV/atom



Entry 17:
Density functional theory data (PBE) for a geometry-optimized Tm6Ge2P3S structure.

Cell and atoms, written as POSCAR:
```
Tm6Ge2P3S
1.0
8.714 -1.956 0.000
8.714 1.956 0.000
-1.909 0.000 7.855
Tm Ge P S
6 2 3 1
Direct
0.001 0.001 0.246
0.333 0.333 0.424
0.336 0.336 0.908
0.664 0.664 0.092
0.667 0.667 0.576
0.999 0.999 0.754
0.167 0.167 0.833
0.833 0.833 0.167
0.164 0.164 0.335
0.500 0.500 0.000
0.836 0.836 0.665
0.500 0.500 0.500
```

Summary:
Magnetization   0.0 μB/f.u.
Symmetry   C2/m, No. 12
Total DFT energy (no corrections)   -6.089 eV/atom
E_form (uncorrected)   -1.39 eV per atom



Entry 18:
Density functional theory data (PBE) for a geometry-optimized TiRuO2 structure.

Cell and atoms, written as POSCAR:
```
TiRuO2
1.0
-2.250 2.250 4.947
2.250 -2.250 4.947
2.250 2.250 -4.947
Ti Ru O
2 2 4
Direct
0.000 0.000 0.000
0.750 0.250 0.500
0.250 0.750 0.500
0.500 0.500 0.000
0.077 0.625 0.952
0.375 0.327 0.452
0.673 0.125 0.048
0.875 0.923 0.548
```

Summary:
Magnetization   0.0 μB/f.u.
Symmetry   I-42d, No. 122
Polymorph energy (0 for the lowest one)   1.550 eV per formula unit
Total DFT energy (no corrections)   -8.100 eV/atom
E_form (uncorrected)   -1.33 eV per atom



Entry 19:
Density functional theory data (PBE) for a geometry-optimized Ce2OsPt structure.

Cell and atoms, written as POSCAR:
```
Ce2OsPt
1.0
3.435 0.000 0.000
0.000 3.435 0.000
0.000 0.000 7.338
Ce Os Pt
2 1 1
Direct
0.000 0.000 0.240
0.000 0.000 0.760
0.500 0.500 0.000
0.500 0.500 0.500
```

Summary:
Magnetization   1.0 μB/f.u.
Symmetry   P4/mmm, No. 123
E_form   -536 meV per atom
Total DFT energy (no corrections)   -7.820 eV/atom



Entry 20:
Density functional theory data (PBE) for a geometry-optimized CsNaSi3 structure.

Cell and atoms, written as POSCAR:
```
CsNaSi3
1.0
5.735 0.000 0.000
0.000 5.735 0.000
0.000 0.000 5.735
Cs Na Si
1 1 3
Direct
0.000 0.000 0.000
0.500 0.500 0.500
0.000 0.000 0.500
0.000 0.500 0.000
0.500 0.000 0.000
```

Summary:
Magnetization   0.0 μB/f.u.
Symmetry   Pm-3m, No. 221
Polymorph energy (0 for the lowest one)   3.472 eV per formula unit
Total DFT energy (no corrections)   -1.809 eV/atom
E_form (uncorrected)   1.88 eV per atom